# Er6Zn2Au | the Alexandria database | PBE | optimized geometry
# Total energy = -4.007 eV/atom
# Magnetic moment = 0.00 μB/cell
# DFT formation energy = -318.2 meV/atom
data_Er6Zn2Au
_space_group_name_H-M_alt 'I m m m'
_space_group_IT_number 71
_space_group_name_Hall '-I 2 2'
_cell_length_a 9.546
_cell_length_b 9.740
_cell_length_c 9.832
_cell_angle_alpha 90.00
_cell_angle_beta 90.00
_cell_angle_gamma 90.00
loop_
_atom_site_label
_atom_site_fract_x
_atom_site_fract_y
_atom_site_fract_z
Er1 0.000 0.176 0.218
Er2 0.177 0.500 0.235
Er3 0.195 0.248 0.500
Zn1 0.000 0.372 0.000
Zn2 0.136 0.000 0.000
Au1 0.000 0.000 0.500
Au2 0.000 0.500 0.500